BaZrW2 | the Alexandria database | PBE-GGA | relaxed; DOS(E_F) = 3.7 states/eV/cell; polymorph energy (0 for the lowest one) = 0.396 eV/atom; formation enthalpy at 0 K = 0.96 eV per atom; uncorrected energy = -32.5 eV for the cell shown; space group = Cmmm, No. 65
1.0
1.700 -2.427 0.000
1.700 2.427 0.000
0.000 0.000 10.571
Ba Zr W
1 1 2
Cartesian
0.000 0.000 0.000 Ba
0.000 0.000 5.285 Zr
1.700 0.000 2.994 W
1.700 0.000 7.577 W


BaZrW2 | the Alexandria database | PBE-GGA | relaxed; DOS(E_F) = 5.2 states/eV/cell; polymorph energy (0 for the lowest one) = 0.276 eV/atom; formation enthalpy at 0 K = 0.84 eV per atom; uncorrected energy = -33.0 eV for the cell shown; space group = Imm2, No. 44
1.0
-1.740 2.391 6.854
1.740 -2.391 6.854
1.740 2.391 -6.854
Ba Zr W
1 1 2
Cartesian
0.000 0.000 0.000 Ba
0.000 2.391 3.267 Zr
1.740 0.000 3.138 W
0.000 0.000 4.869 W


Ba2ZrW | the Alexandria database | PBE-GGA | relaxed; DOS(E_F) = 5.5 states/eV/cell; polymorph energy (0 for the lowest one) = 0.129 eV/atom; formation enthalpy at 0 K = 0.75 eV per atom; uncorrected energy = -22.3 eV for the cell shown; space group = Immm, No. 71
1.0
-1.698 2.238 9.583
1.698 -2.238 9.583
1.698 2.238 -9.583
Ba Zr W
2 1 1
Cartesian
0.000 0.000 2.938 Ba
0.000 0.000 16.227 Ba
0.000 2.238 0.000 Zr
1.698 0.000 0.000 W


BaZrW2 | the Alexandria database | PBE-GGA | relaxed; DOS(E_F) = 3.9 states/eV/cell; polymorph energy (0 for the lowest one) = 0.148 eV/atom; formation enthalpy at 0 K = 0.71 eV per atom; uncorrected energy = -33.5 eV for the cell shown; space group = Pm, No. 6
1.0
3.082 0.000 0.000
0.000 4.235 0.000
-0.169 0.000 7.812
Ba Zr W
1 1 2
Cartesian
0.000 0.000 0.000 Ba
2.765 2.117 2.879 Zr
0.906 0.000 4.350 W
1.908 2.117 5.366 W